DFT (PBE-GGA) results for KGaPb2 after structural relaxation.

Unit cell a=4.6865 b=4.6865 c=22.4149 alpha=90.00 beta=90.00 gamma=120.00
Element x y z (fractional)
K 0.0000 0.0000 0.0000
K 0.3333 0.6667 0.6667
K 0.6667 0.3333 0.3333
Ga 0.0000 0.0000 0.1744
Ga 0.3333 0.6667 0.8411
Ga 0.6667 0.3333 0.5078
Pb 0.0000 0.0000 0.5577
Pb 0.0000 0.0000 0.7867
Pb 0.3333 0.6667 0.2244
Pb 0.3333 0.6667 0.4534
Pb 0.6667 0.3333 0.1200
Pb 0.6667 0.3333 0.8910

Values from the calculation:
Formation energy in eV/atom: -0.02
Total magnetic moment in μB/f.u.: 0.000
DOS(E_F) in states/eV/atom: 0.300